{
  "formula": "SnIr2Br",
  "functional": "PBE-GGA",
  "state": "optimized geometry",
  "cell": [[-2.316, -3.487, -2.019], [-4.631, 0.181, -0.351], [-1.993, 0.629, -4.151]],
  "species": ["Ir", "Ir", "Sn", "Br"],
  "fractional_positions": [[0.250, 0.250, 0.250], [0.750, 0.750, 0.750], [0.500, 0.500, 0.500], [0.000, 0.000, 0.000]],
  "total_magnetization_mub_per_cell": 0.0,
  "de_polymorph_ev_per_atom": 0.055,
  "formation_energy_uncorrected_ev_per_atom": 0.74
}

***

{
  "formula": "SnIrBr3",
  "functional": "PBE-GGA",
  "state": "optimized geometry",
  "cell": [[5.103, 0.000, 0.000], [0.000, 5.103, 0.000], [0.000, 0.000, 5.103]],
  "species": ["Ir", "Sn", "Br", "Br", "Br"],
  "fractional_positions": [[0.000, 0.000, 0.000], [0.500, 0.500, 0.500], [0.000, 0.500, 0.000], [0.000, 0.000, 0.500], [0.500, 0.000, 0.000]],
  "total_magnetization_mub_per_cell": 0.0,
  "de_polymorph_ev_per_atom": 0.000,
  "formation_energy_uncorrected_ev_per_atom": 0.18
}

***

{
  "formula": "TiSn2IrBr",
  "functional": "PBE-GGA",
  "state": "optimized geometry",
  "cell": [[5.308, 0.000, 0.000], [0.000, 4.543, 0.000], [0.000, 0.000, 5.308]],
  "species": ["Ir", "Sn", "Sn", "Br", "Ti"],
  "fractional_positions": [[0.500, 0.500, 0.500], [0.000, 0.000, 0.500], [0.500, 0.000, 0.000], [0.000, 0.000, 0.000], [0.000, 0.500, 0.000]],
  "total_magnetization_mub_per_cell": 0.0,
  "formation_energy_uncorrected_ev_per_atom": 1.25
}

***

{
  "formula": "Tl2SnIrBr",
  "functional": "PBE-GGA",
  "state": "optimized geometry",
  "cell": [[-1.158, -0.905, 5.162], [-0.812, -5.191, -1.092], [4.911, -0.964, 0.932]],
  "species": ["Tl", "Tl", "Ir", "Sn", "Br"],
  "fractional_positions": [[0.000, 0.500, 0.000], [0.500, 0.000, 0.000], [0.000, 0.000, 0.000], [0.000, 0.000, 0.500], [0.500, 0.500, 0.500]],
  "total_magnetization_mub_per_cell": 0.0,
  "formation_energy_uncorrected_ev_per_atom": -0.29
}

***

{
  "formula": "ZrSnIr2Br",
  "functional": "PBE-GGA",
  "state": "optimized geometry",
  "cell": [[4.682, 0.000, 0.000], [0.000, 4.939, 0.000], [0.000, 0.000, 4.682]],
  "species": ["Ir", "Ir", "Sn", "Zr", "Br"],
  "fractional_positions": [[0.000, 0.000, 0.500], [0.500, 0.000, 0.000], [0.500, 0.500, 0.500], [0.000, 0.500, 0.000], [0.000, 0.000, 0.000]],
  "total_magnetization_mub_per_cell": 0.0,
  "formation_energy_uncorrected_ev_per_atom": 0.95
}

***

{
  "formula": "SrIr2Br",
  "functional": "PBE-GGA",
  "state": "optimized geometry",
  "cell": [[-5.686, -0.447, 0.605], [2.817, -1.538, -4.753], [0.343, -2.840, 1.122]],
  "species": ["Sr", "Ir", "Ir", "Br"],
  "fractional_positions": [[0.500, 0.000, 0.500], [0.000, 0.000, 0.000], [0.500, 0.500, 0.000], [0.000, 0.500, 0.500]],
  "total_magnetization_mub_per_cell": 0.0,
  "de_polymorph_ev_per_atom": 0.950,
  "formation_energy_uncorrected_ev_per_atom": 0.69
}

***

Number 3 is which compound?
TiSn2IrBr